Crystalline AlTc at its relaxed geometry. Source: Alexandria via LeMat-Bulk, functional GGA-PBEsol.

energy relative to the lowest polymorph listed for this composition = 0.1744 eV per atom
ΔE_f = -0.218 eV/atom
energy = -7.897 eV/atom
size of the total moment = 0.00 Bohr magnetons per cell
space-group type = No. 187

Cell lengths 2.797, 2.797, 4.181 Å; angles 90.00, 90.00, 120.00 degrees
Sites, in units of the cell vectors:
Tc: 0.333 0.667 0.500
Al: 0.000 0.000 0.000